Record 1
Material: CsNpGe2Cl8
Method: DFT, PBE-GGA
State: relaxed

The structure belongs to space group R-3 (No. 148, hexagonal axes); the cell edges are 7.2736, 7.2736 and 26.5691 Å and the angles 90.00°, 90.00° and 120.00°. Symmetry generates all atoms from Cs at (0.0000, 0.0000, 0.0000), Np at (0.0000, 0.0000, 0.5000), Ge at (0.0000, 0.0000, 0.2235), Cl at (0.0000, 0.0000, 0.3087) and Cl at (0.0052, 0.3729, 0.2237).

The uncorrected formation energy is -1.30 eV/atom. The value obtained for the total energy is -4.45 eV per atom.

***

Record 2
Material: Cs2GeCl6O
Method: DFT, PBE-GGA
State: relaxed

The structure belongs to space group I4/mmm (No. 139); the cell edges are 7.346, 7.346 and 10.996 Å and the angles 90.00°, 90.00° and 90.00°. Symmetry generates all atoms from Cs at (0.000, 0.500, 0.250), Ge at (0.000, 0.000, 0.000), Cl at (0.000, 0.000, 0.211), Cl at (0.227, 0.227, 0.000) and O at (0.000, 0.000, 0.500).

The uncorrected formation energy is -0.98 eV/atom. The value obtained for the total energy is -3.22 eV per atom.

***

Record 3
Material: CsGeP2Cl
Method: DFT, PBE-GGA
State: relaxed

The structure belongs to space group P4/mmm (No. 123); the cell edges are 4.752, 4.752 and 6.636 Å and the angles 90.00°, 90.00° and 90.00°. Symmetry generates all atoms from Cs at (0.000, 0.000, 0.000), Ge at (0.500, 0.500, 0.500), P at (0.000, 0.500, 0.500) and Cl at (0.500, 0.500, 0.000).

The uncorrected formation energy is 0.00 eV/atom. The offset from the most stable computed form comes out at 0 meV/atom. The value obtained for the total energy is -3.63 eV per atom.

***

Record 4
Material: CsGeP2Cl
Method: DFT, PBE-GGA
State: relaxed

The structure belongs to space group P4/mmm (No. 123); the cell edges are 5.820, 5.820 and 5.995 Å and the angles 90.00°, 90.00° and 90.00°. Symmetry generates all atoms from Cs at (0.000, 0.000, 0.000), Ge at (0.500, 0.500, 0.500), P at (0.000, 0.500, 0.000) and Cl at (0.000, 0.000, 0.500).

The uncorrected formation energy is 1.47 eV/atom. The offset from the most stable computed form comes out at 1471 meV/atom. The value obtained for the total energy is -2.16 eV per atom.

***

Record 5
Material: Cs2GePCl6
Method: DFT, PBE-GGA
State: relaxed

The structure belongs to space group I4/mmm (No. 139); the cell edges are 7.218, 7.218 and 11.948 Å and the angles 90.00°, 90.00° and 90.00°. Symmetry generates all atoms from Cs at (0.000, 0.500, 0.250), Ge at (0.000, 0.000, 0.000), P at (0.000, 0.000, 0.500), Cl at (0.000, 0.000, 0.216) and Cl at (0.236, 0.236, 0.500).

The uncorrected formation energy is -1.09 eV/atom. The value obtained for the total energy is -3.37 eV per atom.

***

Record 6
Material: Cs3Ge2PbCl9
Method: DFT, PBE-GGA
State: relaxed

The structure belongs to space group P-3m1 (No. 164); the cell edges are 7.7250, 7.7250 and 9.4791 Å and the angles 90.00°, 90.00° and 120.00°. Symmetry generates all atoms from Cs at (0.0000, 0.0000, 0.0000), Cs at (0.3333, 0.6667, 0.6748), Ge at (0.3333, 0.6667, 0.1587), Pb at (0.0000, 0.0000, 0.5000), Cl at (0.0000, 0.5000, 0.0000) and Cl at (0.1737, 0.3474, 0.3235).

The uncorrected formation energy is -1.39 eV/atom. The value obtained for the total energy is -3.53 eV per atom.

***

Record 7
Material: CsGePbCl5
Method: DFT, PBE-GGA
State: relaxed

The structure belongs to space group C2/c (No. 15); the cell edges are 10.314, 11.764 and 10.760 Å and the angles 90.00°, 114.49° and 90.00°. Symmetry generates all atoms from Cs at (0.000, 0.078, 0.250), Ge at (0.000, 0.483, 0.250), Pb at (0.250, 0.250, 0.000), Cl at (0.000, 0.223, 0.750), Cl at (0.045, 0.343, 0.107) and Cl at (0.224, 0.019, 0.082).

The uncorrected formation energy is -1.23 eV/atom. The value obtained for the total energy is -3.54 eV per atom.

***

Record 8
Material: Cs2GePbCl6
Method: DFT, PBE-GGA
State: relaxed

The structure belongs to space group Fm-3m (No. 225); the cell edges are 11.060, 11.060 and 11.060 Å and the angles 90.00°, 90.00° and 90.00°. Symmetry generates all atoms from Cs at (0.250, 0.250, 0.250), Ge at (0.000, 0.000, 0.000), Pb at (0.000, 0.000, 0.500) and Cl at (0.000, 0.000, 0.241).

The uncorrected formation energy is -1.43 eV/atom. The value obtained for the total energy is -3.54 eV per atom.

***

Record 9
Material: CsGe2PbCl8
Method: DFT, PBE-GGA
State: relaxed

The structure belongs to space group P-1 (No. 2); the cell edges are 6.582, 6.932 and 10.001 Å and the angles 84.76°, 89.59° and 81.49°. Symmetry generates all atoms from Cs at (0.000, 0.000, 0.000), Ge at (0.431, 0.455, 0.287), Pb at (0.000, 0.000, 0.500), Cl at (0.247, 0.808, 0.305), Cl at (0.253, 0.316, 0.465), Cl at (0.254, 0.395, 0.103) and Cl at (0.270, 0.825, 0.718).

The uncorrected formation energy is -1.03 eV/atom. The value obtained for the total energy is -3.41 eV per atom.

***

Record 10
Material: CsPmGeCl6
Method: DFT, PBE-GGA
State: relaxed

The structure belongs to space group Imma (No. 74); the cell edges are 9.747, 10.117 and 14.188 Å and the angles 90.00°, 90.00° and 90.00°. Symmetry generates all atoms from Cs at (0.000, 0.250, 0.056), Pm at (0.000, 0.000, 0.500), Ge at (0.250, 0.250, 0.750), Cl at (0.000, 0.250, 0.423), Cl at (0.000, 0.250, 0.813) and Cl at (0.210, 0.057, 0.620).

The uncorrected formation energy is -1.70 eV/atom. The value obtained for the total energy is -4.06 eV per atom.

***

Record 11
Material: CsPrGe2Cl8
Method: DFT, PBE-GGA
State: relaxed

The structure belongs to space group P-1 (No. 2); the cell edges are 6.406, 7.057 and 9.982 Å and the angles 93.83°, 90.76° and 95.69°. Symmetry generates all atoms from Cs at (0.000, 0.000, 0.000), Pr at (0.000, 0.000, 0.500), Ge at (0.455, 0.548, 0.289), Cl at (0.219, 0.191, 0.308), Cl at (0.238, 0.683, 0.463), Cl at (0.268, 0.615, 0.105) and Cl at (0.278, 0.137, 0.709).

The uncorrected formation energy is -1.48 eV/atom. The value obtained for the total energy is -3.95 eV per atom.

***

Record 12
Material: CsRbGeCl4
Method: DFT, PBE-GGA
State: relaxed

The structure belongs to space group I4mm (No. 107); the cell edges are 5.307, 5.307 and 17.025 Å and the angles 90.00°, 90.00° and 90.00°. Symmetry generates all atoms from Cs at (0.000, 0.000, 0.000), Rb at (0.000, 0.000, 0.716), Ge at (0.000, 0.000, 0.354), Cl at (0.000, 0.000, 0.203), Cl at (0.000, 0.000, 0.520) and Cl at (0.000, 0.500, 0.352).

The uncorrected formation energy is -1.50 eV/atom. The value obtained for the total energy is -3.47 eV per atom.